Record 1
Compound: MnOsPd2S
Source: the Alexandria database
Functional: PBE-GGA
Structure: relaxed

Cell lengths 5.0061, 5.0061, 4.2476 Å; angles 90.00, 90.00, 90.00 degrees
Last column: nearest neighbours and their distance in Å.
Fractional positions:
Mn 0.0000 0.0000 0.0000  8 Pd 3.28, 4 S 3.54
Os 0.5000 0.5000 0.5000  2 S 2.12
Pd 0.0000 0.5000 0.5000  2 Os 2.50
Pd 0.5000 0.0000 0.5000  2 Os 2.50
S 0.5000 0.5000 0.0000  2 Os 2.12

Values from the calculation:
total magnetization	4.903	μB per cell
formation energy (no corrections)	873	meV per atom

Record 2
Compound: PmPuMnOs
Source: the Alexandria database
Functional: PBE-GGA
Structure: relaxed

Cell lengths 4.8953, 4.8953, 4.8953 Å; angles 60.00, 60.00, 60.00 degrees
Last column: nearest neighbours and their distance in Å.
Fractional positions:
Pm 0.0000 0.0000 0.0000  4 Mn 3.00, 4 Os 3.00
Pu 0.5000 0.5000 0.5000  4 Mn 3.00, 4 Os 3.00
Mn 0.7500 0.7500 0.7500  4 Pu 3.00, 4 Pm 3.00
Os 0.2500 0.2500 0.2500  4 Pm 3.00, 4 Pu 3.00

Values from the calculation:
total magnetization	1.530	μB per cell
final energy	-9.78	eV/atom

Record 3
Compound: PmMnSi3Os
Source: the Alexandria database
Functional: PBE-GGA
Structure: relaxed

Cell lengths 6.5276, 6.5276, 5.5091 Å; angles 90.00, 90.00, 110.46 degrees
Last column: nearest neighbours and their distance in Å.
Fractional positions:
Pm 0.2450 0.7550 0.7500  2 Si 2.75
Pm 0.7550 0.2450 0.2500  2 Si 2.75
Mn 0.0452 0.9548 0.2500  5 Si 2.11-2.31
Mn 0.9548 0.0452 0.7500  5 Si 2.11-2.31
Si 0.2397 0.2397 0.0000  2 Mn 2.31, 2 Os 2.44
Si 0.2397 0.2397 0.5000  2 Mn 2.31, 2 Os 2.44
Si 0.2422 0.7578 0.2500  1 Mn 2.11, 1 Os 2.24
Si 0.7578 0.2422 0.7500  1 Mn 2.11, 1 Os 2.24
Si 0.7603 0.7603 0.0000  2 Mn 2.31, 2 Os 2.44
Si 0.7603 0.7603 0.5000  2 Mn 2.31, 2 Os 2.44
Os 0.4508 0.5492 0.2500  5 Si 2.24-2.44
Os 0.5492 0.4508 0.7500  5 Si 2.24-2.44

Values from the calculation:
total magnetization	0.000	μB per cell
formation energy (no corrections)	-311	meV per atom

Record 4
Compound: PmMnSi2Os
Source: the Alexandria database
Functional: PBE-GGA
Structure: relaxed

Cell lengths 5.9324, 5.9324, 5.9324 Å; angles 140.23, 140.23, 57.50 degrees
Last column: nearest neighbours and their distance in Å.
Fractional positions:
Pm 0.0000 0.0000 0.0000  8 Si 3.12, 4 Mn 3.29, 4 Os 3.29
Mn 0.2500 0.7500 0.5000  4 Si 2.42
Si 0.3778 0.3778 0.0000  2 Mn 2.42, 2 Os 2.42, 1 Si 2.54
Si 0.6222 0.6222 0.0000  2 Mn 2.42, 2 Os 2.42, 1 Si 2.54
Os 0.7500 0.2500 0.5000  4 Si 2.42

Values from the calculation:
total magnetization	2.696	μB per cell
formation energy (no corrections)	-682	meV per atom

Record 5
Compound: PmTaMnOs2
Source: the Alexandria database
Functional: PBE-GGA
Structure: relaxed

Cell lengths 6.1925, 6.1925, 6.1925 Å; angles 140.12, 140.12, 57.67 degrees
Last column: nearest neighbours and their distance in Å.
Fractional positions:
Pm 0.0000 0.0000 0.0000  8 Os 3.24, 4 Ta 3.44, 4 Mn 3.44
Ta 0.7500 0.2500 0.5000  4 Os 2.56
Mn 0.2500 0.7500 0.5000  4 Os 2.56
Os 0.3831 0.3831 0.0000  1 Os 2.54, 2 Ta 2.56, 2 Mn 2.56
Os 0.6169 0.6169 0.0000  1 Os 2.54, 2 Ta 2.56, 2 Mn 2.56

Values from the calculation:
total magnetization	2.012	μB per cell
final energy	-9.70	eV/atom

Record 6
Compound: PrMnOs
Source: the Alexandria database
Functional: PBE-GGA
Structure: relaxed

Cell lengths 6.2005, 6.2005, 6.2005 Å; angles 136.11, 131.39, 67.55 degrees
Last column: nearest neighbours and their distance in Å.
Fractional positions:
Pr 0.3770 0.1270 0.2500  4 Mn 2.95, 2 Os 3.16
Pr 0.6230 0.8730 0.7500  4 Mn 2.95, 2 Os 3.16
Mn 0.0000 0.5000 0.5000  2 Os 2.36, 2 Mn 2.55
Mn 0.5000 0.5000 0.0000  2 Os 2.36, 2 Mn 2.55
Os 0.0572 0.3072 0.7500  2 Mn 2.36, 2 Os 2.60
Os 0.9428 0.6928 0.2500  2 Mn 2.36, 2 Os 2.60

Values from the calculation:
total magnetization	2.498	μB per cell
final energy	-8.17	eV/atom

Record 7
Compound: MnOs2Pt
Source: the Alexandria database
Functional: PBE-GGA
Structure: relaxed

Cell lengths 2.7720, 4.5771, 4.6675 Å; angles 90.00, 90.00, 90.00 degrees
Last column: nearest neighbours and their distance in Å.
Fractional positions:
Mn 0.0000 0.0000 0.0000  4 Pt 2.68, 4 Os 2.71, 2 Mn 2.77
Os 0.0000 0.5000 0.5000  6 Os 2.68-2.77, 4 Pt 2.71
Os 0.5000 0.0000 0.5000  6 Os 2.68-2.77, 4 Mn 2.71
Pt 0.5000 0.5000 0.0000  4 Mn 2.68, 4 Os 2.71, 2 Pt 2.77

Values from the calculation:
total magnetization	3.575	μB per cell
final energy	-9.10	eV/atom

Record 8
Compound: MnOs2Pt
Source: the Alexandria database
Functional: PBE-GGA
Structure: relaxed

Cell lengths 4.7176, 4.7176, 4.7082 Å; angles 99.53, 99.53, 33.72 degrees
Last column: nearest neighbours and their distance in Å.
Fractional positions:
Mn 0.0000 0.0000 0.0000  7 Os 2.64-2.80, 3 Pt 2.67-2.72, 2 Mn 2.74
Os 0.4949 0.4949 0.4786  4 Mn 2.64-2.80, 5 Os 2.65-2.74, 3 Pt 2.79-2.80
Os 0.7489 0.7489 0.2665  5 Os 2.65-2.74, 4 Pt 2.72-2.73, 3 Mn 2.74-2.77
Pt 0.2486 0.2486 0.7646  3 Mn 2.67-2.72, 7 Os 2.72-2.80, 2 Pt 2.74

Values from the calculation:
total magnetization	2.843	μB per cell
final energy	-9.37	eV/atom

Record 9
Compound: MnOs2Pt
Source: the Alexandria database
Functional: PBE-GGA
Structure: relaxed

Cell lengths 9.0047, 9.0047, 9.0047 Å; angles 17.22, 17.22, 17.22 degrees
Last column: nearest neighbours and their distance in Å.
Fractional positions:
Mn 0.0000 0.0000 0.0000  6 Os 2.57, 6 Mn 2.70
Os 0.2566 0.2566 0.2566  3 Mn 2.57, 6 Os 2.70, 3 Pt 2.85
Os 0.7434 0.7434 0.7434  3 Mn 2.57, 6 Os 2.70, 3 Pt 2.85
Pt 0.5000 0.5000 0.5000  6 Pt 2.70, 6 Os 2.85

Values from the calculation:
total magnetization	0.835	μB per cell
final energy	-9.32	eV/atom

Record 10
Compound: Mn2Os2Pt
Source: the Alexandria database
Functional: PBE-GGA
Structure: relaxed

Cell lengths 7.0938, 7.0938, 2.6853 Å; angles 90.00, 90.00, 90.00 degrees
Last column: nearest neighbours and their distance in Å.
Fractional positions:
Mn 0.1228 0.3772 0.0000  3 Mn 2.46-2.69, 6 Os 2.48-2.49
Mn 0.3772 0.8772 0.0000  3 Mn 2.46-2.69, 6 Os 2.48-2.49
Mn 0.6228 0.1228 0.0000  3 Mn 2.46-2.69, 6 Os 2.48-2.49
Mn 0.8772 0.6228 0.0000  3 Mn 2.46-2.69, 6 Os 2.48-2.49
Os 0.1677 0.6677 0.5000  6 Mn 2.48-2.49, 2 Os 2.69
Os 0.3323 0.1677 0.5000  6 Mn 2.48-2.49, 2 Os 2.69
Os 0.6677 0.8323 0.5000  6 Mn 2.48-2.49, 2 Os 2.69
Os 0.8323 0.3323 0.5000  6 Mn 2.48-2.49, 2 Os 2.69
Pt 0.0000 0.0000 0.0000  2 Pt 2.69, 4 Mn 2.81, 8 Os 2.96
Pt 0.5000 0.5000 0.0000  2 Pt 2.69, 4 Mn 2.81, 8 Os 2.96

Values from the calculation:
total magnetization	0.000	μB per cell
E above lowest polymorph	0	kJ/mol of formula units

Record 11
Compound: MnOs4Pt
Source: the Alexandria database
Functional: PBE-GGA
Structure: relaxed

Cell lengths 5.1280, 5.1280, 5.1280 Å; angles 60.00, 60.00, 60.00 degrees
Last column: nearest neighbours and their distance in Å.
Fractional positions:
Mn 0.0000 0.0000 0.0000  12 Os 3.01, 4 Pt 3.14
Os 0.1264 0.6245 0.6245  6 Os 2.55-2.57
Os 0.6245 0.1264 0.6245  6 Os 2.55-2.57
Os 0.6245 0.6245 0.1264  6 Os 2.55-2.57
Os 0.6245 0.6245 0.6245  6 Os 2.55-2.57
Pt 0.2500 0.2500 0.2500  12 Os 3.01, 4 Mn 3.14

Values from the calculation:
total magnetization	3.179	μB per cell
final energy	-9.32	eV/atom

Record 12
Compound: MnOs2Pt
Source: the Alexandria database
Functional: PBE-GGA
Structure: relaxed

Cell lengths 4.7098, 4.7098, 2.7245 Å; angles 90.00, 90.00, 109.85 degrees
Last column: nearest neighbours and their distance in Å.
Fractional positions:
Mn 0.0000 0.0000 0.0000  2 Pt 2.71, 8 Os 2.72, 2 Mn 2.72
Os 0.0000 0.5000 0.5000  4 Os 2.71-2.72, 4 Mn 2.72, 4 Pt 2.72
Os 0.5000 0.0000 0.5000  4 Os 2.71-2.72, 4 Mn 2.72, 4 Pt 2.72
Pt 0.5000 0.5000 0.0000  2 Mn 2.71, 8 Os 2.72, 2 Pt 2.72

Values from the calculation:
total magnetization	2.255	μB per cell
final energy	-9.26	eV/atom